Entry from Alexandria via LeMat-Bulk: a relaxed structure of Li2VF5 (GGA+U).

Results
Crystal system: orthorhombic
Space-group type: No. 62
Distance to the lowest polymorph of the same formula, eV/atom: 0.0630

a b c (Å): 6.119 6.327 9.135
angles (deg): 90.00 90.00 90.00
Last column: magnetic moment on the atom in μB.
Atoms (fractional coordinates):
F  0.078  0.750  0.761  0.00
F  0.325  0.033  0.568  -0.01
F  0.582  0.750  0.680  0.00
F  0.675  0.533  0.432  -0.01
F  0.175  0.467  0.068  -0.01
F  0.825  0.967  0.932  -0.01
F  0.390  0.750  0.944  -0.01
F  0.175  0.033  0.068  -0.01
F  0.890  0.250  0.556  -0.01
F  0.675  0.967  0.432  -0.01
F  0.610  0.250  0.056  -0.01
F  0.325  0.467  0.568  -0.01
F  0.578  0.250  0.739  0.00
F  0.922  0.250  0.239  0.00
F  0.422  0.750  0.261  0.00
F  0.825  0.533  0.932  -0.01
F  0.918  0.750  0.180  0.00
F  0.110  0.750  0.444  -0.01
F  0.418  0.250  0.320  0.00
F  0.082  0.250  0.820  0.00
Li  0.456  0.029  0.172  0.00
Li  0.956  0.529  0.328  0.00
Li  0.544  0.971  0.828  0.00
Li  0.044  0.029  0.672  0.00
Li  0.044  0.471  0.672  0.00
Li  0.956  0.971  0.328  0.00
Li  0.456  0.471  0.172  0.00
Li  0.544  0.529  0.828  0.00
V  0.439  0.750  0.482  1.92
V  0.561  0.250  0.518  1.92
V  0.061  0.750  0.982  1.92
V  0.939  0.250  0.018  1.92